Entry from Alexandria: a relaxed structure of Er2NpH8 (GGA-PBE).

abc: 6.231 6.231 6.231
angles: 146.78 129.95 61.40
Positions (direct):
Er: 0.168 0.168 0.000
Er: 0.832 0.832 0.000
Np: 0.500 0.500 0.000
H: 0.075 0.336 0.739
H: 0.225 0.000 0.225
H: 0.349 0.849 0.500
H: 0.402 0.664 0.739
H: 0.598 0.336 0.261
H: 0.651 0.151 0.500
H: 0.775 0.000 0.775
H: 0.925 0.664 0.261

## Properties
D(E_F) in states/eV/f.u.: 3.6
Electronic total energy in eV/atom: -4.9513
Total magnetic moment in μB per formula unit: 3.9
Volume in Å³ per cell: 100.6
Crystal system: orthorhombic